{"formula": "KYSc2", "functional": "meta-GGA SCAN", "state": "single point on PBEsol structure", "cell": [[4.9418, 0.0000, 0.0000], [0.0000, 4.9418, 0.0000], [0.0000, 0.0000, 4.9852]], "species": ["K", "Sc", "Sc", "Y"], "frac_coords": [[0.0000, 0.0000, 0.5000], [0.5000, 0.0000, 0.0000], [0.0000, 0.5000, 0.0000], [0.5000, 0.5000, 0.5000]], "de_polymorph_ev_per_atom": 0.085, "n_ef_per_ev_fu": 4.0, "formation_enthalpy_0k_mev_per_atom": 657}